5
Lattice="4.5397 0.0000 0.0000 0.0000 5.0424 0.0000 0.0000 0.0000 4.5397" Properties=species:S:1:pos:R:3 comment="ZrTa2MnF (PBE+U, optimized geometry)" total_magnetization_mub_per_cell=0.6 e_tot_ev_per_atom=-7.159 density_g_cm3=8.42 pbc="T T T"
Zr 0.0000 2.5212 0.0000
Mn 0.0000 0.0000 0.0000
F 2.2698 2.5212 2.2698
Ta 0.0000 0.0000 2.2698
Ta 2.2698 0.0000 0.0000